A relaxed Cu24Rh5 crystal. Source: Alexandria via LeMat-Bulk, functional GGA-PBEsol.

a = 7.6173 Å, b = 7.6173 Å, c = 7.6173 Å
α = 109.47°, β = 109.47°, γ = 109.47°
Closest atoms and distances in Å follow each position.
Atoms (fractional coordinates):
Cu 0.6235 0.8144 0.6235  6 Cu 2.31-2.49
Cu 0.8091 0.1856 0.8091  6 Cu 2.31-2.49
Cu 0.1909 0.0000 0.3765  6 Cu 2.31-2.49
Cu 0.3765 0.0000 0.1909  6 Cu 2.31-2.49
Cu 0.8144 0.6235 0.6235  6 Cu 2.31-2.49
Cu 0.1856 0.8091 0.8091  6 Cu 2.31-2.49
Cu 0.0000 0.3765 0.1909  6 Cu 2.31-2.49
Cu 0.0000 0.1909 0.3765  6 Cu 2.31-2.49
Cu 0.6235 0.6235 0.8144  6 Cu 2.31-2.49
Cu 0.8091 0.8091 0.1856  6 Cu 2.31-2.49
Cu 0.3765 0.1909 0.0000  6 Cu 2.31-2.49
Cu 0.1909 0.3765 0.0000  6 Cu 2.31-2.49
Cu 0.5974 0.2786 0.5974  7 Cu 2.34-2.59, 1 Rh 2.50
Cu 0.3188 0.7214 0.3188  7 Cu 2.34-2.59, 1 Rh 2.50
Cu 0.6812 0.0000 0.4026  7 Cu 2.34-2.59, 1 Rh 2.50
Cu 0.4026 0.0000 0.6812  7 Cu 2.34-2.59, 1 Rh 2.50
Cu 0.2786 0.5974 0.5974  7 Cu 2.34-2.59, 1 Rh 2.50
Cu 0.7214 0.3188 0.3188  7 Cu 2.34-2.59, 1 Rh 2.50
Cu 0.0000 0.4026 0.6812  7 Cu 2.34-2.59, 1 Rh 2.50
Cu 0.0000 0.6812 0.4026  7 Cu 2.34-2.59, 1 Rh 2.50
Cu 0.5974 0.5974 0.2786  7 Cu 2.34-2.59, 1 Rh 2.50
Cu 0.3188 0.3188 0.7214  7 Cu 2.34-2.59, 1 Rh 2.50
Cu 0.4026 0.6812 0.0000  7 Cu 2.34-2.59, 1 Rh 2.50
Cu 0.6812 0.4026 0.0000  7 Cu 2.34-2.59, 1 Rh 2.50
Rh 0.3593 0.3593 0.3593  9 Cu 2.50-2.68, 1 Rh 2.74
Rh 0.0000 0.6407 0.0000  9 Cu 2.50-2.68, 1 Rh 2.74
Rh 0.0000 0.0000 0.6407  9 Cu 2.50-2.68, 1 Rh 2.74
Rh 0.6407 0.0000 0.0000  9 Cu 2.50-2.68, 1 Rh 2.74
Rh 0.0000 0.0000 0.0000  4 Rh 2.74, 12 Cu 2.75

Calculated values
- E_tot (eV per atom) = -4.936
- D(E_F) (states/eV/atom) = 0.50
- space-group type = I-43m (217)
- theoretical density (Mg/m³) = 9.95